(1)
Below is a relaxed Pa5O12F2 crystal, with properties calculated at the PBE level.

**SG**: P-1 (2)
**DFT total energy**: -9.2460 eV per atom

abc: 5.357 6.626 8.738
angles: 97.47 90.47 113.82
Sites, in units of the cell vectors:
Pa  0.000  0.000  0.000
Pa  0.287  0.578  0.844
Pa  0.428  0.847  0.283
Pa  0.572  0.153  0.717
Pa  0.713  0.422  0.156
O  0.051  0.583  0.323
O  0.103  0.711  0.059
O  0.200  0.881  0.802
O  0.325  0.120  0.198
O  0.391  0.289  0.941
O  0.453  0.413  0.676
O  0.547  0.587  0.324
O  0.609  0.711  0.059
O  0.675  0.880  0.802
O  0.800  0.119  0.198
O  0.897  0.289  0.941
O  0.949  0.417  0.677
F  0.273  0.998  0.499
F  0.727  0.002  0.501


(2)
Below is a relaxed Pa2OF8 crystal, with properties calculated at the PBE level.

**SG**: C2/m (12)
**DFT total energy**: -7.2840 eV per atom

abc: 6.369 6.369 4.525
angles: 92.82 92.82 73.70
Sites, in units of the cell vectors:
Pa  0.205  0.205  0.061
Pa  0.795  0.795  0.939
O  0.000  0.000  0.000
F  0.108  0.549  0.813
F  0.159  0.159  0.552
F  0.388  0.388  0.266
F  0.451  0.892  0.187
F  0.549  0.108  0.813
F  0.612  0.612  0.734
F  0.841  0.841  0.448
F  0.892  0.451  0.187